# 1
Below is an optimized crystal structure of Ho2Co2Si3, with properties calculated at the GGA-PBE level.

Unit cell a=8.777 b=8.777 c=6.614 alpha=90.00 beta=90.00 gamma=153.52
Element x y z (fractional)
Ho1 0.054 0.946 0.750
Ho2 0.160 0.840 0.250
Ho3 0.840 0.160 0.750
Ho4 0.946 0.054 0.250
Co1 0.306 0.694 0.056
Co2 0.306 0.694 0.444
Co3 0.694 0.306 0.556
Co4 0.694 0.306 0.944
Si1 0.223 0.777 0.750
Si2 0.435 0.565 0.567
Si3 0.435 0.565 0.933
Si4 0.565 0.435 0.067
Si5 0.565 0.435 0.433
Si6 0.777 0.223 0.250

raw total energy: -6.374 eV/atom
energy relative to the elements, uncorrected: -711 meV/atom
magnetic moment: 0.00 μB per atom

=====

# 2
Below is an optimized crystal structure of Re2WCl, with properties calculated at the GGA-PBE level.

Unit cell a=2.901 b=4.820 c=9.443 alpha=90.00 beta=90.00 gamma=90.00
Element x y z (fractional)
Re1 0.000 0.000 0.000
Re2 0.000 0.500 0.230
Re3 0.500 0.000 0.230
Re4 0.500 0.500 0.000
W1 0.000 0.500 0.753
W2 0.500 0.000 0.753
Cl1 0.000 0.000 0.535
Cl2 0.500 0.500 0.535

raw total energy: -9.280 eV/atom
energy relative to the elements, uncorrected: 644 meV/atom
magnetic moment: 0.00 μB per atom
excess energy over the best structure of this formula in the dataset: 190.6 meV/atom

=====

# 3
Below is an optimized crystal structure of Ca3Si2Rh3, with properties calculated at the GGA-PBE level.

Unit cell a=7.806 b=14.262 c=5.761 alpha=90.00 beta=90.00 gamma=90.00
Element x y z (fractional)
Ca1 0.029 0.109 0.130
Ca2 0.029 0.391 0.130
Ca3 0.175 0.250 0.596
Ca4 0.325 0.750 0.096
Ca5 0.471 0.609 0.630
Ca6 0.471 0.891 0.630
Ca7 0.529 0.109 0.370
Ca8 0.529 0.391 0.370
Ca9 0.675 0.250 0.904
Ca10 0.825 0.750 0.404
Ca11 0.971 0.609 0.870
Ca12 0.971 0.891 0.870
Si1 0.125 0.598 0.373
Si2 0.125 0.902 0.373
Si3 0.375 0.098 0.873
Si4 0.375 0.402 0.873
Si5 0.625 0.598 0.127
Si6 0.625 0.902 0.127
Si7 0.875 0.098 0.627
Si8 0.875 0.402 0.627
Rh1 0.161 0.039 0.611
Rh2 0.161 0.461 0.611
Rh3 0.170 0.750 0.557
Rh4 0.330 0.250 0.057
Rh5 0.339 0.539 0.111
Rh6 0.339 0.961 0.111
Rh7 0.661 0.039 0.889
Rh8 0.661 0.461 0.889
Rh9 0.670 0.750 0.943
Rh10 0.830 0.250 0.443
Rh11 0.839 0.539 0.389
Rh12 0.839 0.961 0.389

raw total energy: -5.633 eV/atom
energy relative to the elements, uncorrected: -770 meV/atom
magnetic moment: 0.00 μB per atom